(P)
A relaxed GdTmH crystal, computed with PBE-GGA.

The total moment comes out at 2.453 μB/atom.

The structure belongs to space group P2_1/c (No. 14); the cell edges are 6.948, 5.563 and 7.059 Å and the angles 90.00°, 105.12° and 90.00°. The inequivalent atoms are Gd at (0.144, 0.245, 0.409), Tm at (0.370, 0.746, 0.216) and H at (0.128, 0.001, 0.658).

---

(Q)
A relaxed GdTmH crystal, computed with PBE-GGA.

The total moment comes out at 2.499 μB/atom.

The structure belongs to space group I4mm (No. 107); the cell edges are 3.326, 3.326 and 12.006 Å and the angles 90.00°, 90.00° and 90.00°. The inequivalent atoms are Gd at (0.000, 0.000, 0.000), Tm at (0.000, 0.000, 0.710) and H at (0.000, 0.000, 0.187).

---

Tell me which of them is the least stable. Sure, it is (Q).

---

(P)
A relaxed Gd2TmH crystal, computed with PBE-GGA.

The total moment comes out at 3.629 μB/atom.

The structure belongs to space group R-3m (No. 166, hexagonal axes); the cell edges are 3.6011, 3.6011 and 25.5151 Å and the angles 90.00°, 90.00° and 120.00°. The inequivalent atoms are Gd at (0.0000, 0.0000, 0.2222), Tm at (0.0000, 0.0000, 0.0000) and H at (0.0000, 0.0000, 0.5000).

---

(Q)
A relaxed Gd2TmH crystal, computed with PBE-GGA.

The total moment comes out at 3.673 μB/atom.

The structure belongs to space group P4/mmm (No. 123); the cell edges are 3.341, 3.341 and 8.480 Å and the angles 90.00°, 90.00° and 90.00°. The inequivalent atoms are Gd at (0.000, 0.000, 0.189), Tm at (0.500, 0.500, 0.500) and H at (0.500, 0.500, 0.000).

---

Tell me which of them is the least stable. Sure, it is (Q).

---

(P)
A relaxed GdZnH crystal, computed with PBE-GGA.

The total moment comes out at 2.415 μB/atom.

The structure belongs to space group I4/mmm (No. 139); the cell edges are 3.445, 3.445 and 16.661 Å and the angles 90.00°, 90.00° and 90.00°. The inequivalent atoms are Gd at (0.000, 0.000, 0.096), Zn at (0.000, 0.000, 0.289) and H at (0.000, 0.500, 0.000).

---

(Q)
A relaxed GdZnH crystal, computed with PBE-GGA.

The total moment comes out at 2.542 μB/atom.

The structure belongs to space group I4mm (No. 107); the cell edges are 3.312, 3.312 and 10.012 Å and the angles 90.00°, 90.00° and 90.00°. The inequivalent atoms are Gd at (0.000, 0.000, 0.000), Zn at (0.000, 0.000, 0.699) and H at (0.000, 0.000, 0.471).

---

Tell me which of them is the least stable. Sure, it is (Q).

---

(P)
A relaxed GdZrH crystal, computed with PBE-GGA.

The total moment comes out at 2.370 μB/atom.

The structure belongs to space group P3m1 (No. 156); the cell edges are 3.4118, 3.4118 and 5.4686 Å and the angles 90.00°, 90.00° and 120.00°. The inequivalent atoms are Gd at (0.0000, 0.0000, 0.0000), Zr at (0.6667, 0.3333, 0.4949) and H at (0.3333, 0.6667, 0.7017).

---

(Q)
A relaxed GdZrH crystal, computed with PBE-GGA.

The total moment comes out at 2.458 μB/atom.

The structure belongs to space group R-3m (No. 166, hexagonal axes); the cell edges are 3.3911, 3.3911 and 34.6129 Å and the angles 90.00°, 90.00° and 120.00°. The inequivalent atoms are Gd at (0.0000, 0.0000, 0.2112), Zr at (0.0000, 0.0000, 0.3711) and H at (0.0000, 0.0000, 0.2760).

---

Tell me which of them is the least stable. Sure, it is (P).

---

(P)
A relaxed GdHf2 crystal, computed with PBE-GGA.

The total moment comes out at 3.540 μB/atom.

The structure belongs to space group Fd-3m (No. 227, origin choice 2); the cell edges are 8.639, 8.639 and 8.639 Å and the angles 90.00°, 90.00° and 90.00°. The inequivalent atoms are Gd at (0.125, 0.125, 0.125) and Hf at (0.000, 0.000, 0.500).

---

(Q)
A relaxed GdHf2 crystal, computed with PBE-GGA.

The total moment comes out at 2.451 μB/atom.

The structure belongs to space group I4/mmm (No. 139); the cell edges are 3.191, 3.191 and 15.047 Å and the angles 90.00°, 90.00° and 90.00°. The inequivalent atoms are Gd at (0.000, 0.000, 0.000) and Hf at (0.000, 0.000, 0.319).

---

Tell me which of them is the least stable. Sure, it is (P).

---

(P)
A relaxed GdHoHf crystal, computed with PBE-GGA.

The total moment comes out at 2.483 μB/atom.

The structure belongs to space group I4mm (No. 107); the cell edges are 3.362, 3.362 and 14.892 Å and the angles 90.00°, 90.00° and 90.00°. The inequivalent atoms are Gd at (0.000, 0.000, 0.000), Ho at (0.000, 0.000, 0.308) and Hf at (0.000, 0.000, 0.657).

---

(Q)
A relaxed GdHoHf crystal, computed with PBE-GGA.

The total moment comes out at 2.436 μB/atom.

The structure belongs to space group P3m1 (No. 156); the cell edges are 3.3838, 3.3838 and 8.4383 Å and the angles 90.00°, 90.00° and 120.00°. The inequivalent atoms are Gd at (0.0000, 0.0000, 0.0000), Ho at (0.6667, 0.3333, 0.3765) and Hf at (0.3333, 0.6667, 0.6860).

---

Tell me which of them is the least stable. Sure, it is (Q).

---

(P)
A relaxed Gd2HoHf crystal, computed with PBE-GGA.

The total moment comes out at 3.580 μB/atom.

The structure belongs to space group P4/mmm (No. 123); the cell edges are 3.415, 3.415 and 9.866 Å and the angles 90.00°, 90.00° and 90.00°. The inequivalent atoms are Gd at (0.000, 0.000, 0.231), Ho at (0.500, 0.500, 0.500) and Hf at (0.500, 0.500, 0.000).

---

(Q)
A relaxed Gd2HoHf crystal, computed with PBE-GGA.

The total moment comes out at 3.517 μB/atom.

The structure belongs to space group P4/mmm (No. 123); the cell edges are 4.857, 4.857 and 4.836 Å and the angles 90.00°, 90.00° and 90.00°. The inequivalent atoms are Gd at (0.000, 0.500, 0.000), Ho at (0.000, 0.000, 0.500) and Hf at (0.500, 0.500, 0.500).

---

Tell me which of them is the least stable. Sure, it is (Q).

---

(P)
A relaxed GdHfIn crystal, computed with PBE-GGA.

The total moment comes out at 2.385 μB/atom.

The structure belongs to space group I4mm (No. 107); the cell edges are 3.371, 3.371 and 13.418 Å and the angles 90.00°, 90.00° and 90.00°. The inequivalent atoms are Gd at (0.000, 0.000, 0.000), Hf at (0.000, 0.000, 0.674) and In at (0.000, 0.000, 0.325).

---

(Q)
A relaxed GdHfIn crystal, computed with PBE-GGA.

The total moment comes out at 2.429 μB/atom.

The structure belongs to space group P3m1 (No. 156); the cell edges are 5.1189, 5.1189 and 3.4443 Å and the angles 90.00°, 90.00° and 120.00°. The inequivalent atoms are Gd at (0.0000, 0.0000, 0.0000), Hf at (0.6667, 0.3333, 0.5008) and In at (0.3333, 0.6667, 0.4980).

---

Tell me which of them is the least stable. Sure, it is (Q).

---

(P)
A relaxed GdHfIr crystal, computed with PBE-GGA.

The total moment comes out at 2.405 μB/atom.

The structure belongs to space group F-43m (No. 216); the cell edges are 6.625, 6.625 and 6.625 Å and the angles 90.00°, 90.00° and 90.00°. The inequivalent atoms are Gd at (0.000, 0.000, 0.000), Hf at (0.000, 0.000, 0.500) and Ir at (0.250, 0.250, 0.250).

---

(Q)
A relaxed GdHfIr crystal, computed with PBE-GGA.

The total moment comes out at 2.729 μB/atom.

The structure belongs to space group I4mm (No. 107); the cell edges are 3.394, 3.394 and 11.664 Å and the angles 90.00°, 90.00° and 90.00°. The inequivalent atoms are Gd at (0.000, 0.000, 0.000), Hf at (0.000, 0.000, 0.284) and Ir at (0.000, 0.000, 0.673).

---

Tell me which of them is the least stable. Sure, it is (P).

---

(P)
A relaxed LaGdHf crystal, computed with PBE-GGA.

The total moment comes out at 2.460 μB/atom.

The structure belongs to space group P3m1 (No. 156); the cell edges are 3.4364, 3.4364 and 8.6535 Å and the angles 90.00°, 90.00° and 120.00°. The inequivalent atoms are La at (0.0000, 0.0000, 0.0000), Gd at (0.3333, 0.6667, 0.6161) and Hf at (0.6667, 0.3333, 0.3145).

---

(Q)
A relaxed LaGdHf crystal, computed with PBE-GGA.

The total moment comes out at 2.447 μB/atom.

The structure belongs to space group I4mm (No. 107); the cell edges are 3.380, 3.380 and 15.606 Å and the angles 90.00°, 90.00° and 90.00°. The inequivalent atoms are La at (0.000, 0.000, 0.000), Gd at (0.000, 0.000, 0.694) and Hf at (0.000, 0.000, 0.340).

---

Tell me which of them is the least stable. Sure, it is (P).

---

(P)
A relaxed La2GdHf crystal, computed with PBE-GGA.

The total moment comes out at 1.848 μB/atom.

The structure belongs to space group R-3m (No. 166, hexagonal axes); the cell edges are 3.3887, 3.3887 and 37.2353 Å and the angles 90.00°, 90.00° and 120.00°. The inequivalent atoms are La at (0.0000, 0.0000, 0.0825), Gd at (0.0000, 0.0000, 0.5000) and Hf at (0.0000, 0.0000, 0.0000).

---

(Q)
A relaxed La2GdHf crystal, computed with PBE-GGA.

The total moment comes out at 1.762 μB/atom.

The structure belongs to space group P4/mmm (No. 123); the cell edges are 4.078, 4.078 and 7.537 Å and the angles 90.00°, 90.00° and 90.00°. The inequivalent atoms are La at (0.000, 0.000, 0.222), Gd at (0.500, 0.500, 0.500) and Hf at (0.500, 0.500, 0.000).

---

(R)
A relaxed La2GdHf crystal, computed with PBE-GGA.

The total moment comes out at 1.774 μB/atom.

The structure belongs to space group P4/mmm (No. 123); the cell edges are 5.048, 5.048 and 4.855 Å and the angles 90.00°, 90.00° and 90.00°. The inequivalent atoms are La at (0.000, 0.500, 0.000), Gd at (0.000, 0.000, 0.500) and Hf at (0.500, 0.500, 0.500).

---

Tell me which of them is the least stable. Sure, it is (P).

---

(P)
A relaxed LiGd2Hf crystal, computed with PBE-GGA.

The total moment comes out at 3.675 μB/atom.

The structure belongs to space group P4/mmm (No. 123); the cell edges are 3.390, 3.390 and 9.321 Å and the angles 90.00°, 90.00° and 90.00°. The inequivalent atoms are Li at (0.000, 0.000, 0.000), Gd at (0.500, 0.500, 0.258) and Hf at (0.000, 0.000, 0.500).

---

(Q)
A relaxed LiGd2Hf crystal, computed with PBE-GGA.

The total moment comes out at 3.829 μB/atom.

The structure belongs to space group R-3m (No. 166, hexagonal axes); the cell edges are 3.2386, 3.2386 and 35.5649 Å and the angles 90.00°, 90.00° and 120.00°. The inequivalent atoms are Li at (0.0000, 0.0000, 0.0000), Gd at (0.0000, 0.0000, 0.4135) and Hf at (0.0000, 0.0000, 0.5000).

---

Tell me which of them is the least stable. Sure, it is (Q).